Record 1
# PBE-GGA Ce2GaPt3, relaxed
data_Ce2GaPt3
_cell_length_a 9.0495
_cell_length_b 8.5385
_cell_length_c 5.7616
_cell_angle_alpha 75.76
_cell_angle_beta 66.14
_cell_angle_gamma 38.11
_space_group_name_H-M_alt 'P 1'
_space_group_IT_number 1
_space_group_name_Hall 'P 1'
loop_
_atom_site_label
_atom_site_type_symbol
_atom_site_fract_x
_atom_site_fract_y
_atom_site_fract_z
_atom_site_occupancy
Ce1 Ce 0.2424 0.7576 0.7576 1
Ce2 Ce 0.2500 0.2500 0.2500 1
Ce3 Ce 0.7500 0.7500 0.7500 1
Ce4 Ce 0.7576 0.2424 0.2424 1
Ga1 Ga 0.3320 0.3320 0.6680 1
Ga2 Ga 0.6680 0.6680 0.3320 1
Pt1 Pt 0.1708 0.1708 0.8292 1
Pt2 Pt 0.1775 0.6470 0.3530 1
Pt3 Pt 0.3530 0.8225 0.1775 1
Pt4 Pt 0.6470 0.1775 0.8225 1
Pt5 Pt 0.8225 0.3530 0.6470 1
Pt6 Pt 0.8292 0.8292 0.1708 1
# * energy of formation from the pure elements: -22.85 kcal/mol of atoms
# * distance to the lowest polymorph of the same formula: 0.00 eV per formula unit
# * SG: Fmmm, No. 69

***

Record 2
# PBE-GGA Rb2CoBiI6, relaxed
data_Rb2CoBiI6
_cell_length_a 8.3692
_cell_length_b 8.3692
_cell_length_c 8.3692
_cell_angle_alpha 60.00
_cell_angle_beta 60.00
_cell_angle_gamma 60.00
_space_group_name_H-M_alt 'P 1'
_space_group_IT_number 1
_space_group_name_Hall 'P 1'
loop_
_atom_site_label
_atom_site_type_symbol
_atom_site_fract_x
_atom_site_fract_y
_atom_site_fract_z
_atom_site_occupancy
Rb1 Rb 0.2500 0.2500 0.2500 1
Rb2 Rb 0.7500 0.7500 0.7500 1
Co1 Co 0.0000 0.0000 0.0000 1
Bi1 Bi 0.5000 0.5000 0.5000 1
I1 I 0.2372 0.2372 0.7628 1
I2 I 0.2372 0.7628 0.2372 1
I3 I 0.2372 0.7628 0.7628 1
I4 I 0.7628 0.2372 0.2372 1
I5 I 0.7628 0.2372 0.7628 1
I6 I 0.7628 0.7628 0.2372 1
# * E_form (uncorrected): -0.640 eV per atom
# * SG: Fm-3m, No. 225

***

Record 3
# PBE-GGA Pr2YHo6Tm3, relaxed
data_Pr2YHo6Tm3
_cell_length_a 6.1508
_cell_length_b 6.1508
_cell_length_c 11.7654
_cell_angle_alpha 94.99
_cell_angle_beta 94.99
_cell_angle_gamma 119.95
_space_group_name_H-M_alt 'P 1'
_space_group_IT_number 1
_space_group_name_Hall 'P 1'
loop_
_atom_site_label
_atom_site_type_symbol
_atom_site_fract_x
_atom_site_fract_y
_atom_site_fract_z
_atom_site_occupancy
Pr1 Pr 0.1667 0.8333 0.0000 1
Pr2 Pr 0.8333 0.1667 0.0000 1
Y1 Y 0.5000 0.5000 0.0000 1
Ho1 Ho 0.0811 0.4140 0.7449 1
Ho2 Ho 0.2532 0.2532 0.2553 1
Ho3 Ho 0.4140 0.0811 0.7449 1
Ho4 Ho 0.5860 0.9189 0.2551 1
Ho5 Ho 0.7468 0.7468 0.7447 1
Ho6 Ho 0.9189 0.5860 0.2551 1
Tm1 Tm 0.0000 0.0000 0.5000 1
Tm2 Tm 0.3336 0.6664 0.5000 1
Tm3 Tm 0.6664 0.3336 0.5000 1
# * energy of formation from the pure elements: 0.54 kcal/mol of atoms
# * SG: C2/m, No. 12

***

Record 4
# PBE-GGA ZnNi3, relaxed
data_ZnNi3
_cell_length_a 2.5523
_cell_length_b 3.5079
_cell_length_c 5.1139
_cell_angle_alpha 90.00
_cell_angle_beta 90.00
_cell_angle_gamma 90.00
_space_group_name_H-M_alt 'P 1'
_space_group_IT_number 1
_space_group_name_Hall 'P 1'
loop_
_atom_site_label
_atom_site_type_symbol
_atom_site_fract_x
_atom_site_fract_y
_atom_site_fract_z
_atom_site_occupancy
Zn1 Zn 0.0000 0.0000 0.0000 1
Ni1 Ni 0.0000 0.0000 0.5000 1
Ni2 Ni 0.5000 0.5000 0.2584 1
Ni3 Ni 0.5000 0.5000 0.7416 1
# * energy of formation from the pure elements: -2.24 kcal/mol of atoms
# * SG: Pmmm, No. 47

***

Record 5
# PBE-GGA Ta2TeRh, relaxed
data_Ta2TeRh
_cell_length_a 3.3256
_cell_length_b 3.3125
_cell_length_c 7.3707
_cell_angle_alpha 90.00
_cell_angle_beta 102.95
_cell_angle_gamma 90.00
_space_group_name_H-M_alt 'P 1'
_space_group_IT_number 1
_space_group_name_Hall 'P 1'
loop_
_atom_site_label
_atom_site_type_symbol
_atom_site_fract_x
_atom_site_fract_y
_atom_site_fract_z
_atom_site_occupancy
Ta1 Ta 0.0000 0.0000 0.0000 1
Ta2 Ta 0.3764 0.5000 0.7513 1
Te1 Te 0.6186 0.5000 0.2385 1
Rh1 Rh 0.7914 0.0000 0.5814 1
# * E_form (uncorrected): -0.141 eV per atom
# * SG: Pm, No. 6

***

Record 6
# PBE-GGA Cs3PmY2Se6, relaxed
data_Cs3PmY2Se6
_cell_length_a 7.4559
_cell_length_b 7.4559
_cell_length_c 8.7450
_cell_angle_alpha 98.17
_cell_angle_beta 98.17
_cell_angle_gamma 120.00
_space_group_name_H-M_alt 'P 1'
_space_group_IT_number 1
_space_group_name_Hall 'P 1'
loop_
_atom_site_label
_atom_site_type_symbol
_atom_site_fract_x
_atom_site_fract_y
_atom_site_fract_z
_atom_site_occupancy
Cs1 Cs 0.0000 0.0000 0.0000 1
Cs2 Cs 0.3347 0.6653 0.0000 1
Cs3 Cs 0.6653 0.3347 0.0000 1
Pm1 Pm 0.5000 0.5000 0.5000 1
Y1 Y 0.1668 0.8332 0.5000 1
Y2 Y 0.8332 0.1668 0.5000 1
Se1 Se 0.0984 0.4376 0.3127 1
Se2 Se 0.2231 0.2231 0.6867 1
Se3 Se 0.4376 0.0984 0.3127 1
Se4 Se 0.5624 0.9016 0.6873 1
Se5 Se 0.7769 0.7769 0.3133 1
Se6 Se 0.9016 0.5624 0.6873 1
# * E_form (uncorrected): -1.734 eV per atom
# * SG: C2/m, No. 12

***

Record 7
# PBE-GGA Ac2SiAg, relaxed
data_Ac2SiAg
_cell_length_a 3.9457
_cell_length_b 3.9457
_cell_length_c 7.6588
_cell_angle_alpha 90.00
_cell_angle_beta 90.00
_cell_angle_gamma 90.00
_space_group_name_H-M_alt 'P 1'
_space_group_IT_number 1
_space_group_name_Hall 'P 1'
loop_
_atom_site_label
_atom_site_type_symbol
_atom_site_fract_x
_atom_site_fract_y
_atom_site_fract_z
_atom_site_occupancy
Ac1 Ac 0.0000 0.0000 0.2307 1
Ac2 Ac 0.0000 0.0000 0.7693 1
Si1 Si 0.5000 0.5000 0.0000 1
Ag1 Ag 0.5000 0.5000 0.5000 1
# * E_form (uncorrected): -0.324 eV per atom
# * SG: P4/mmm, No. 123

***

Record 8
# PBE-GGA In2GeSe4, relaxed
data_In2GeSe4
_cell_length_a 7.4304
_cell_length_b 7.4304
_cell_length_c 6.8748
_cell_angle_alpha 113.32
_cell_angle_beta 113.32
_cell_angle_gamma 31.81
_space_group_name_H-M_alt 'P 1'
_space_group_IT_number 1
_space_group_name_Hall 'P 1'
loop_
_atom_site_label
_atom_site_type_symbol
_atom_site_fract_x
_atom_site_fract_y
_atom_site_fract_z
_atom_site_occupancy
In1 In 0.2282 0.2282 0.2112 1
In2 In 0.7718 0.7718 0.7888 1
Ge1 Ge 0.5000 0.5000 0.5000 1
Se1 Se 0.1370 0.1370 0.4899 1
Se2 Se 0.3785 0.3785 0.0552 1
Se3 Se 0.6215 0.6215 0.9448 1
Se4 Se 0.8630 0.8630 0.5101 1
# * distance to the lowest polymorph of the same formula: 0.00 eV per formula unit
# * E_form (uncorrected): -0.398 eV per atom
# * SG: C2/m, No. 12

***

The records above give, respectively, total energy values of -6.494 -2.862 -4.719 -4.752 -8.691 -5.163 -4.447 -3.831 eV/atom.
The records above give, respectively, magnetic moment values of 0.0 2.0 0.0 0.9 0.0 0.0 0.0 0.0 Bohr magnetons per cell.